(1)
Computed, not measured: a geometry-optimized DyLuScHg structure at the PBE level of DFT.

Summary:
DFT formation energy: -66 meV/atom
Volume: 25.82 Å³/atom
Energy: -4.00 eV/atom
DOS at the Fermi energy: 1.415 states/eV/atom
Density: 9.37 g/cm³

Cell: 7.4479 7.4479 7.4479 Å, 90.00 90.00 90.00°
Closest atoms and distances in Å follow each position.
Space group F-43m (No. 216)
Unique sites:
Dy: 0.0000 0.0000 0.0000 [4 per cell]  4 Sc 3.23, 4 Hg 3.23
Lu: 0.0000 0.0000 0.5000 [4 per cell]  4 Hg 3.23, 4 Sc 3.23
Sc: 0.2500 0.2500 0.7500 [4 per cell]  4 Dy 3.23, 4 Lu 3.23
Hg: 0.2500 0.2500 0.2500 [4 per cell]  4 Dy 3.23, 4 Lu 3.23

---

(2)
Computed, not measured: a geometry-optimized TePtIN2 structure at the PBE level of DFT.

Summary:
Volume: 24.59 Å³/atom
Offset from the most stable computed form: 159 meV/atom
Energy: -3.97 eV/atom
Uncorrected formation energy: 7.52 eV per formula unit
DOS at the Fermi energy: 0.805 states/eV/atom
Density: 6.45 g/cm³

Cell: 3.9240 3.9240 7.9837 Å, 90.00 90.00 90.00°
Closest atoms and distances in Å follow each position.
Space group P4/mmm (No. 123)
Unique sites:
Te: 0.0000 0.0000 0.0000 [1 per cell]  4 N 1.96
Pt: 0.5000 0.5000 0.5000 [1 per cell]  4 I 2.77
I: 0.0000 0.0000 0.5000 [1 per cell]  4 Pt 2.77
N: 0.0000 0.5000 0.0000 [2 per cell]  2 Te 1.96

---

> What is the density in the second record?

6.45 g/cm³

---

Please write out number 2 again, unchanged.
Computed, not measured: a geometry-optimized TePtIN2 structure at the PBE level of DFT.

Summary:
Volume: 24.59 Å³/atom
Offset from the most stable computed form: 159 meV/atom
Energy: -3.97 eV/atom
Uncorrected formation energy: 7.52 eV per formula unit
DOS at the Fermi energy: 0.805 states/eV/atom
Density: 6.45 g/cm³

Cell: 3.9240 3.9240 7.9837 Å, 90.00 90.00 90.00°
Closest atoms and distances in Å follow each position.
Space group P4/mmm (No. 123)
Unique sites:
Te: 0.0000 0.0000 0.0000 [1 per cell]  4 N 1.96
Pt: 0.5000 0.5000 0.5000 [1 per cell]  4 I 2.77
I: 0.0000 0.0000 0.5000 [1 per cell]  4 Pt 2.77
N: 0.0000 0.5000 0.0000 [2 per cell]  2 Te 1.96

---

> energy of number 1 (DyLuScHg)?

-4.00 eV/atom